A relaxed BaSiMo crystal. Source: Alexandria via LeMat-Bulk, functional PBE.

Output
- Space group: F-43m
- Total energy: -5.11 eV/atom

Cell: 4.660 4.660 4.660 Å, 60.00 60.00 60.00°
Element x y z (fractional)
Ba: 0.000 0.000 0.000
Si: 0.500 0.500 0.500
Mo: 0.250 0.250 0.250

=====

A relaxed BaSi2Mo2 crystal. Source: Alexandria via LeMat-Bulk, functional PBE.

Output
- Space group: I4/mmm
- Total energy: -6.71 eV/atom

Cell: 5.734 5.734 5.734 Å, 130.58 130.58 72.48°
Element x y z (fractional)
Ba: 0.000 0.000 0.000
Si: 0.250 0.750 0.500
Si: 0.750 0.250 0.500
Mo: 0.375 0.375 0.000
Mo: 0.625 0.625 0.000

=====

A relaxed BaSiMo crystal. Source: Alexandria via LeMat-Bulk, functional PBE.

Output
- Space group: P4/nmm
- Total energy: -6.27 eV/atom

Cell: 3.955 3.955 11.129 Å, 90.00 90.00 90.00°
Element x y z (fractional)
Ba: 0.250 0.250 0.202
Ba: 0.750 0.750 0.798
Si: 0.250 0.250 0.650
Si: 0.750 0.750 0.350
Mo: 0.250 0.750 0.500
Mo: 0.750 0.250 0.500

=====

A relaxed BaSiMo crystal. Source: Alexandria via LeMat-Bulk, functional PBE.

Output
- Space group: P-6m2
- Total energy: -5.73 eV/atom

Cell: 4.312 4.312 5.187 Å, 90.00 90.00 120.00°
Element x y z (fractional)
Ba: 0.000 0.000 0.000
Si: 0.333 0.667 0.500
Mo: 0.667 0.333 0.500

=====

A relaxed Ba2SiTeMo crystal. Source: Alexandria via LeMat-Bulk, functional PBE.

Output
- Space group: P4/mmm
- Total energy: -4.72 eV/atom

Cell: 6.311 6.311 4.807 Å, 90.00 90.00 90.00°
Element x y z (fractional)
Ba: 0.000 0.500 0.000
Ba: 0.500 0.000 0.000
Si: 0.000 0.000 0.000
Te: 0.500 0.500 0.500
Mo: 0.000 0.000 0.500

=====

A relaxed BaTiSi2Mo crystal. Source: Alexandria via LeMat-Bulk, functional PBE.

Output
- Space group: P4/mmm
- Total energy: -5.30 eV/atom

Cell: 4.814 4.814 5.529 Å, 90.00 90.00 90.00°
Element x y z (fractional)
Ba: 0.000 0.000 0.000
Ti: 0.500 0.500 0.000
Si: 0.000 0.500 0.500
Si: 0.500 0.000 0.500
Mo: 0.000 0.000 0.500

=====

Calculated energy relative to the elements, uncorrected, 949; 175; -209; 326; -76; 1003 meV/atom (same order as the records).